Record 1
Below is MoIr2Pb after structural relaxation, with properties calculated at the PBE level.

energy of formation from the pure elements = 0.167 eV per atom

Cell lengths 2.930, 2.930, 8.191 Å; angles 90.00, 90.00, 90.00 degrees
Space group P4/mmm (No. 123)
Symmetry-distinct sites (fractional):
Mo (0.000, 0.000, 0.000) x1
Ir (0.500, 0.500, 0.214) x2
Pb (0.000, 0.000, 0.500) x1

***

Record 2
Below is MoIr2Pb after structural relaxation, with properties calculated at the PBE level.

energy of formation from the pure elements = 0.412 eV per atom

Cell lengths 4.085, 4.085, 8.055 Å; angles 90.00, 90.00, 90.00 degrees
Space group I-4m2 (No. 119)
Symmetry-distinct sites (fractional):
Mo (0.000, 0.000, 0.000) x2
Ir (0.000, 0.000, 0.500) x2
Ir (0.000, 0.500, 0.250) x2
Pb (0.000, 0.500, 0.750) x2

***

Record 3
Below is Mo2IrPb after structural relaxation, with properties calculated at the PBE level.

energy of formation from the pure elements = 0.557 eV per atom

Cell lengths 6.522, 6.522, 6.522 Å; angles 90.00, 90.00, 90.00 degrees
Space group F-43m (No. 216)
Symmetry-distinct sites (fractional):
Mo (0.000, 0.000, 0.000) x4
Mo (0.250, 0.250, 0.250) x4
Ir (0.250, 0.250, 0.750) x4
Pb (0.000, 0.000, 0.500) x4

***

Record 4
Below is MoIr2Pb after structural relaxation, with properties calculated at the PBE level.

energy of formation from the pure elements = 0.390 eV per atom

Cell lengths 2.878, 3.872, 6.329 Å; angles 90.00, 90.00, 90.00 degrees
Space group Pmm2 (No. 25)
Symmetry-distinct sites (fractional):
Mo (0.000, 0.000, 0.000) x1
Ir (0.000, 0.000, 0.583) x1
Ir (0.500, 0.500, 0.814) x1
Pb (0.500, 0.500, 0.317) x1

***

Record 5
Below is Mo2IrPb after structural relaxation, with properties calculated at the PBE level.

energy of formation from the pure elements = 0.464 eV per atom

Cell lengths 3.956, 4.208, 8.331 Å; angles 90.00, 90.00, 90.00 degrees
Space group Imm2 (No. 44)
Symmetry-distinct sites (fractional):
Mo (0.000, 0.000, 0.000) x2
Mo (0.000, 0.500, 0.284) x2
Ir (0.000, 0.000, 0.510) x2
Pb (0.000, 0.500, 0.756) x2

***

Record 6
Below is MoIr2Pb after structural relaxation, with properties calculated at the PBE level.

energy of formation from the pure elements = 0.362 eV per atom

Cell lengths 4.111, 4.111, 7.977 Å; angles 90.00, 90.00, 90.00 degrees
Space group I4/mmm (No. 139)
Symmetry-distinct sites (fractional):
Mo (0.000, 0.000, 0.000) x2
Ir (0.000, 0.500, 0.250) x4
Pb (0.000, 0.000, 0.500) x2

***

Record 7
Below is MoIr2Pb after structural relaxation, with properties calculated at the PBE level.

energy of formation from the pure elements = 0.274 eV per atom

Cell lengths 2.946, 3.924, 5.914 Å; angles 90.00, 90.08, 90.00 degrees
Space group P2/m (No. 10)
Symmetry-distinct sites (fractional):
Mo (0.000, 0.000, 0.000) x1
Ir (0.499, 0.500, 0.224) x2
Pb (0.000, 0.000, 0.500) x1

***

Record 8
Below is MoIr2Pb4 after structural relaxation, with properties calculated at the PBE level.

energy of formation from the pure elements = 0.859 eV per atom

Cell lengths 5.338, 5.338, 13.317 Å; angles 90.00, 90.00, 90.00 degrees
Space group I4/mmm (No. 139)
Symmetry-distinct sites (fractional):
Mo (0.000, 0.000, 0.000) x2
Ir (0.000, 0.000, 0.401) x4
Pb (0.000, 0.000, 0.206) x4
Pb (0.000, 0.500, 0.000) x4

***

Record 9
Below is Mo4IrPb after structural relaxation, with properties calculated at the PBE level.

energy of formation from the pure elements = 0.550 eV per atom

Cell lengths 7.469, 7.469, 7.469 Å; angles 90.00, 90.00, 90.00 degrees
Space group F-43m (No. 216)
Symmetry-distinct sites (fractional):
Mo (0.124, 0.124, 0.124) x16
Ir (0.000, 0.000, 0.500) x4
Pb (0.250, 0.250, 0.750) x4

***

Record 10
Below is Mo2IrPb after structural relaxation, with properties calculated at the PBE level.

energy of formation from the pure elements = 0.478 eV per atom

Cell lengths 3.0719, 3.0719, 27.0654 Å; angles 90.00, 90.00, 120.00 degrees
Space group R3m (No. 160, hexagonal axes)
Symmetry-distinct sites (fractional):
Mo (0.0000, 0.0000, 0.0000) x3
Mo (0.0000, 0.0000, 0.2645) x3
Ir (0.0000, 0.0000, 0.5220) x3
Pb (0.0000, 0.0000, 0.7635) x3

***

Record 11
Below is Mo2IrPb after structural relaxation, with properties calculated at the PBE level.

energy of formation from the pure elements = 0.396 eV per atom

Cell lengths 2.858, 4.017, 6.402 Å; angles 90.00, 94.98, 90.00 degrees
Space group P2/m (No. 10)
Symmetry-distinct sites (fractional):
Mo (0.035, 0.000, 0.196) x2
Ir (0.500, 0.500, 0.000) x1
Pb (0.500, 0.500, 0.500) x1

***

Record 12
Below is Mo2IrPb after structural relaxation, with properties calculated at the PBE level.

energy of formation from the pure elements = 0.650 eV per atom

Cell lengths 4.838, 4.838, 2.968 Å; angles 90.00, 90.00, 90.00 degrees
Space group P4/mmm (No. 123)
Symmetry-distinct sites (fractional):
Mo (0.000, 0.500, 0.000) x2
Ir (0.000, 0.000, 0.500) x1
Pb (0.500, 0.500, 0.500) x1